[1]
# TiBi2Pb2 PBE-GGA relaxed
# Formation energy (eV/atom): 0.177
# Space-group type: P4/mbm
data_TiBi2Pb2
_symmetry_space_group_name_H-M 'P 1'
_symmetry_Int_Tables_number 1
_cell_length_a 7.6070
_cell_length_b 7.6070
_cell_length_c 5.2208
_cell_angle_alpha 90.00
_cell_angle_beta 90.00
_cell_angle_gamma 90.00
loop_
_symmetry_equiv_pos_as_xyz
'x,y,z'
loop_
_atom_site_label
_atom_site_type_symbol
_atom_site_fract_x
_atom_site_fract_y
_atom_site_fract_z
_atom_site_occupancy
Ti1 Ti 0.0000 0.0000 0.0000 1
Ti2 Ti 0.5000 0.5000 0.0000 1
Bi1 Bi 0.1581 0.3419 0.0000 1
Bi2 Bi 0.3419 0.8419 0.0000 1
Bi3 Bi 0.6581 0.1581 0.0000 1
Bi4 Bi 0.8419 0.6581 0.0000 1
Pb1 Pb 0.1612 0.6612 0.5000 1
Pb2 Pb 0.3388 0.1612 0.5000 1
Pb3 Pb 0.6612 0.8388 0.5000 1
Pb4 Pb 0.8388 0.3388 0.5000 1

[2]
# Ce3Rh4Pb13 PBE-GGA relaxed
# Formation energy (eV/atom): -0.266
# Space-group type: Pm-3n
data_Ce3Rh4Pb13
_symmetry_space_group_name_H-M 'P 1'
_symmetry_Int_Tables_number 1
_cell_length_a 10.1369
_cell_length_b 10.1369
_cell_length_c 10.1369
_cell_angle_alpha 90.00
_cell_angle_beta 90.00
_cell_angle_gamma 90.00
loop_
_symmetry_equiv_pos_as_xyz
'x,y,z'
loop_
_atom_site_label
_atom_site_type_symbol
_atom_site_fract_x
_atom_site_fract_y
_atom_site_fract_z
_atom_site_occupancy
Ce1 Ce 0.0000 0.2500 0.5000 1
Ce2 Ce 0.0000 0.7500 0.5000 1
Ce3 Ce 0.2500 0.5000 0.0000 1
Ce4 Ce 0.5000 0.0000 0.2500 1
Ce5 Ce 0.5000 0.0000 0.7500 1
Ce6 Ce 0.7500 0.5000 0.0000 1
Rh1 Rh 0.2500 0.2500 0.2500 1
Rh2 Rh 0.2500 0.2500 0.7500 1
Rh3 Rh 0.2500 0.7500 0.2500 1
Rh4 Rh 0.2500 0.7500 0.7500 1
Rh5 Rh 0.7500 0.2500 0.2500 1
Rh6 Rh 0.7500 0.2500 0.7500 1
Rh7 Rh 0.7500 0.7500 0.2500 1
Rh8 Rh 0.7500 0.7500 0.7500 1
Pb1 Pb 0.0000 0.0000 0.0000 1
Pb2 Pb 0.0000 0.3079 0.1545 1
Pb3 Pb 0.0000 0.3079 0.8455 1
Pb4 Pb 0.0000 0.6921 0.1545 1
Pb5 Pb 0.0000 0.6921 0.8455 1
Pb6 Pb 0.1545 0.0000 0.3079 1
Pb7 Pb 0.1545 0.0000 0.6921 1
Pb8 Pb 0.1921 0.5000 0.3455 1
Pb9 Pb 0.1921 0.5000 0.6545 1
Pb10 Pb 0.3079 0.1545 0.0000 1
Pb11 Pb 0.3079 0.8455 0.0000 1
Pb12 Pb 0.3455 0.1921 0.5000 1
Pb13 Pb 0.3455 0.8079 0.5000 1
Pb14 Pb 0.5000 0.3455 0.1921 1
Pb15 Pb 0.5000 0.3455 0.8079 1
Pb16 Pb 0.5000 0.5000 0.5000 1
Pb17 Pb 0.5000 0.6545 0.1921 1
Pb18 Pb 0.5000 0.6545 0.8079 1
Pb19 Pb 0.6545 0.1921 0.5000 1
Pb20 Pb 0.6545 0.8079 0.5000 1
Pb21 Pb 0.6921 0.1545 0.0000 1
Pb22 Pb 0.6921 0.8455 0.0000 1
Pb23 Pb 0.8079 0.5000 0.3455 1
Pb24 Pb 0.8079 0.5000 0.6545 1
Pb25 Pb 0.8455 0.0000 0.3079 1
Pb26 Pb 0.8455 0.0000 0.6921 1

[3]
# NaHg2GeO4 PBE-GGA relaxed
# Space-group type: I-42m
# Uncorrected formation energy (eV/f.u.): -8.114
data_NaHg2GeO4
_symmetry_space_group_name_H-M 'P 1'
_symmetry_Int_Tables_number 1
_cell_length_a 5.1880
_cell_length_b 5.1880
_cell_length_c 9.8111
_cell_angle_alpha 90.00
_cell_angle_beta 90.00
_cell_angle_gamma 90.00
loop_
_symmetry_equiv_pos_as_xyz
'x,y,z'
loop_
_atom_site_label
_atom_site_type_symbol
_atom_site_fract_x
_atom_site_fract_y
_atom_site_fract_z
_atom_site_occupancy
Na1 Na 0.0000 0.0000 0.0000 1
Na2 Na 0.5000 0.5000 0.5000 1
Hg1 Hg 0.0000 0.5000 0.2500 1
Hg2 Hg 0.0000 0.5000 0.7500 1
Hg3 Hg 0.5000 0.0000 0.2500 1
Hg4 Hg 0.5000 0.0000 0.7500 1
Ge1 Ge 0.0000 0.0000 0.5000 1
Ge2 Ge 0.5000 0.5000 0.0000 1
O1 O 0.2051 0.2051 0.3987 1
O2 O 0.2051 0.7949 0.6013 1
O3 O 0.2949 0.2949 0.8987 1
O4 O 0.2949 0.7051 0.1013 1
O5 O 0.7051 0.2949 0.1013 1
O6 O 0.7051 0.7051 0.8987 1
O7 O 0.7949 0.2051 0.6013 1
O8 O 0.7949 0.7949 0.3987 1

[4]
# Pm6HgPb6 PBE-GGA relaxed
# Formation energy (eV/atom): -0.415
# Space-group type: P6/mmm
data_Pm6HgPb6
_symmetry_space_group_name_H-M 'P 1'
_symmetry_Int_Tables_number 1
_cell_length_a 6.6981
_cell_length_b 6.6981
_cell_length_c 10.5776
_cell_angle_alpha 90.00
_cell_angle_beta 90.00
_cell_angle_gamma 120.00
loop_
_symmetry_equiv_pos_as_xyz
'x,y,z'
loop_
_atom_site_label
_atom_site_type_symbol
_atom_site_fract_x
_atom_site_fract_y
_atom_site_fract_z
_atom_site_occupancy
Pm1 Pm 0.0000 0.0000 0.1894 1
Pm2 Pm 0.0000 0.0000 0.8106 1
Pm3 Pm 0.3333 0.6667 0.0000 1
Pm4 Pm 0.3333 0.6667 0.5000 1
Pm5 Pm 0.6667 0.3333 0.0000 1
Pm6 Pm 0.6667 0.3333 0.5000 1
Hg1 Hg 0.0000 0.0000 0.5000 1
Pb1 Pb 0.0000 0.5000 0.2506 1
Pb2 Pb 0.0000 0.5000 0.7494 1
Pb3 Pb 0.5000 0.0000 0.2506 1
Pb4 Pb 0.5000 0.0000 0.7494 1
Pb5 Pb 0.5000 0.5000 0.2506 1
Pb6 Pb 0.5000 0.5000 0.7494 1

What did we get for electronic total energy? Answer: -4.44 -5.04 -4.31 -4.34 eV per atom, in the order shown.